1.
Computed, not measured: crystalline NdSm12Ho6 at its relaxed geometry at the GGA-PBE level of DFT. Values from VASP.

Summary:
calculated formation energy: 0.200 eV/atom
space-group type: R-3m
distance to the lowest polymorph of the same formula: 59 meV/atom

The structure in Quantum ESPRESSO input format:
```
&SYSTEM
  ibrav = 0, nat = 19, ntyp = 3
/
ATOMIC_SPECIES
Sm 150.36 Sm.upf
Ho 164.93 Ho.upf
Nd 144.24 Nd.upf
ATOMIC_POSITIONS crystal
Sm 0.7587 0.2413 0.5000
Sm 0.0826 0.3552 0.3552
Sm 0.2413 0.7587 0.5000
Sm 0.7587 0.5000 0.2413
Sm 0.6448 0.6448 0.9174
Sm 0.3552 0.0826 0.3552
Ho 0.0995 0.0995 0.6607
Ho 0.9005 0.3393 0.9005
Ho 0.9005 0.9005 0.3393
Nd 0.0000 0.0000 0.0000
Sm 0.5000 0.2413 0.7587
Sm 0.2413 0.5000 0.7587
Ho 0.6607 0.0995 0.0995
Ho 0.0995 0.6607 0.0995
Sm 0.5000 0.7587 0.2413
Sm 0.6448 0.9174 0.6448
Sm 0.3552 0.3552 0.0826
Ho 0.3393 0.9005 0.9005
Sm 0.9174 0.6448 0.6448
CELL_PARAMETERS angstrom
8.7018 -0.1662 -1.2063
-1.3622 8.5961 -1.2063
-0.1447 -0.1662 8.7838
```



2.
Computed, not measured: crystalline La8Pt3Br4Cl at its relaxed geometry at the GGA-PBE level of DFT. Values from VASP.

Summary:
space-group type: R-3m

The structure in Quantum ESPRESSO input format:
```
&SYSTEM
  ibrav = 0, nat = 16, ntyp = 4
/
ATOMIC_SPECIES
Cl 35.45 Cl.upf
Br 79.90 Br.upf
La 138.91 La.upf
Pt 195.08 Pt.upf
ATOMIC_POSITIONS crystal
Cl 0.0000 0.5000 0.0000
Br 0.5000 0.0000 0.5000
Br 0.0000 0.0000 0.5000
Br 0.5000 0.0000 0.0000
La 0.7364 0.7199 0.9781
Pt 0.5000 0.5000 0.0000
Pt 0.5000 0.5000 0.5000
Pt 0.0000 0.5000 0.5000
La 0.2670 0.3009 0.5341
La 0.7583 0.2802 0.5166
La 0.7330 0.6991 0.4659
La 0.7583 0.2801 0.0219
La 0.2417 0.7199 0.9781
La 0.2636 0.2801 0.0219
Br 0.0000 0.0000 0.0000
La 0.2417 0.7198 0.4834
CELL_PARAMETERS angstrom
8.5141 0.0000 0.0000
0.0000 9.0444 0.3685
-4.2571 -4.2525 6.0241
```



Number 1: raw total energy -85.1 eV/cell. Number 2: raw total energy -87.6 eV/cell.